[1]
Here is NaCa2Os after structural relaxation from the Alexandria database. Energies are from PBE-GGA.

```
4
Lattice="0.0000 3.6210 3.6210 3.6210 0.0000 3.6210 3.6210 3.6210 0.0000" Properties=species:S:1:pos:R:3 pbc="T T T"
Na 0.0000 0.0000 0.0000
Ca 1.8105 1.8105 1.8105
Ca 5.4315 5.4315 5.4315
Os 3.6210 3.6210 3.6210
```

Values from the calculation:
Its density is 5.1 g/cm3. The calculation puts the formation energy at 453.0 meV per atom. As for the space group: Fm-3m, No. 225. The value obtained for the density of states at the Fermi level is 4.70 states/eV/f.u. The energy above the most stable polymorph in this dataset comes out at 0 meV per atom.



[2]
Here is Zr2MnPt after structural relaxation from the Alexandria database. Energies are from PBE-GGA.

```
8
Lattice="-2.0549 2.0549 9.5082 2.0549 -2.0549 9.5082 2.0549 2.0549 -9.5082" Properties=species:S:1:pos:R:3 pbc="T T T"
Zr 3.0824 1.0250 -2.3771
Zr 1.0250 1.0275 2.3771
Zr -1.0275 1.0299 7.1312
Zr 1.0299 1.0275 11.8853
Mn 2.0549 0.0000 4.7541
Mn 0.0000 0.0000 9.5082
Pt 0.0000 0.0000 0.0000
Pt 0.0000 2.0549 4.7541
```

Values from the calculation:
Its density is 8.9 g/cm3. The calculation puts the formation energy at 152.4 meV per atom. As for the space group: I-42d, No. 122. The value obtained for the density of states at the Fermi level is 2.91 states/eV/f.u. The energy above the most stable polymorph in this dataset comes out at 697 meV per atom.



[3]
Here is Pm2NdDyBi4 after structural relaxation from the Alexandria database. Energies are from PBE-GGA.

```
8
Lattice="7.8994 0.0000 0.0000 0.0000 4.5643 0.0000 -2.6343 0.0000 7.4488" Properties=species:S:1:pos:R:3 pbc="T T T"
Pm 0.0000 0.0000 0.0000
Pm 3.9497 2.2822 0.0000
Nd -1.3171 2.2822 3.7244
Dy 2.6326 0.0000 3.7244
Bi 0.0306 0.0000 5.5785
Bi 1.3470 2.2822 1.8914
Bi 3.9181 2.2822 5.5574
Bi 5.2346 0.0000 1.8703
```

Values from the calculation:
Its density is 8.9 g/cm3. The calculation puts the formation energy at -919.0 meV per atom. As for the space group: P2/m, No. 10. The value obtained for the density of states at the Fermi level is 1.19 states/eV/f.u.



[4]
Here is Fe2SbOsI after structural relaxation from the Alexandria database. Energies are from PBE-GGA.

```
5
Lattice="4.8091 0.0000 0.0000 0.0000 4.8091 0.0000 0.0000 0.0000 5.9914" Properties=species:S:1:pos:R:3 pbc="T T T"
Fe 0.0000 2.4046 0.0000
Fe 2.4046 0.0000 0.0000
Sb 0.0000 0.0000 0.0000
Os 2.4046 2.4046 2.9957
I 0.0000 0.0000 2.9957
```

Values from the calculation:
Its density is 6.6 g/cm3. As for the space group: P4/mmm, No. 123. The value obtained for the density of states at the Fermi level is 12.86 states/eV/f.u. For the formation energy (no corrections), the calculation gives 2149.9 meV/atom.



[5]
Here is CeAsP2Rh5 after structural relaxation from the Alexandria database. Energies are from PBE-GGA.

```
9
Lattice="3.9871 0.0000 0.0000 0.0000 3.9871 0.0000 0.0000 0.0000 10.0015" Properties=species:S:1:pos:R:3 pbc="T T T"
Ce 0.0000 0.0000 0.0000
As 0.0000 0.0000 5.0008
P 1.9935 1.9935 2.2862
P 1.9935 1.9935 7.7153
Rh 0.0000 1.9935 3.4511
Rh 0.0000 1.9935 6.5504
Rh 1.9935 0.0000 3.4511
Rh 1.9935 0.0000 6.5504
Rh 1.9935 1.9935 0.0000
```

Values from the calculation:
Its density is 8.3 g/cm3. The calculation puts the formation energy at -746.9 meV per atom. As for the space group: P4/mmm, No. 123. The value obtained for the density of states at the Fermi level is 8.38 states/eV/f.u.



[6]
Here is SrCaHW2 after structural relaxation from the Alexandria database. Energies are from PBE-GGA.

```
5
Lattice="4.7242 0.0000 0.0000 0.0000 4.7242 0.0000 0.0000 0.0000 6.5403" Properties=species:S:1:pos:R:3 pbc="T T T"
Sr 0.0000 0.0000 0.0000
Ca 0.0000 0.0000 3.2701
H 2.3621 2.3621 0.0000
W 0.0000 2.3621 3.2701
W 2.3621 0.0000 3.2701
```

Values from the calculation:
Its density is 5.6 g/cm3. As for the space group: P4/mmm, No. 123. The value obtained for the density of states at the Fermi level is 7.01 states/eV/f.u. As for the total energy: -3.6898 eV/atom.